# 1
DFT (PBE) results for a geometry-optimized CsRb2NaS structure.

Lattice parameters (Å, degrees): 6.5425 6.5425 6.8897 90.00 90.00 90.00
Fractional positions:
Cs 0.0000 0.0000 0.0000
Rb 0.0000 0.5000 0.5000
Rb 0.5000 0.0000 0.5000
Na 0.5000 0.5000 0.0000
S 0.0000 0.0000 0.5000

The calculation puts the density at 2021 kg/m³. Its formation energy (no corrections) is -0.530 eV/atom.

***

# 2
DFT (PBE) results for a geometry-optimized CsRbNaSb structure.

Lattice parameters (Å, degrees): 7.2472 7.2472 7.2472 46.25 46.25 46.25
Fractional positions:
Cs 0.0000 0.0000 0.0000
Rb 0.2099 0.2099 0.2099
Na 0.7744 0.7744 0.7744
Sb 0.4452 0.4452 0.4452

The calculation puts the density at 3327 kg/m³. Its formation energy (no corrections) is -0.376 eV/atom.

***

# 3
DFT (PBE) results for a geometry-optimized CsRbNaSb structure.

Lattice parameters (Å, degrees): 6.0834 6.0834 6.0834 60.00 60.00 60.00
Fractional positions:
Cs 0.0000 0.0000 0.0000
Rb 0.7500 0.7500 0.7500
Na 0.2500 0.2500 0.2500
Sb 0.5000 0.5000 0.5000

The calculation puts the density at 3788 kg/m³. Its formation energy (no corrections) is -0.343 eV/atom.

***

# 4
DFT (PBE) results for a geometry-optimized CsRbNaSn structure.

Lattice parameters (Å, degrees): 6.2667 6.2667 6.2667 60.00 60.00 60.00
Fractional positions:
Cs 0.0000 0.0000 0.0000
Rb 0.2500 0.2500 0.2500
Na 0.7500 0.7500 0.7500
Sn 0.5000 0.5000 0.5000

Its formation energy is -14 meV/atom. The calculation puts the density at 3436 kg/m³.

***

# 5
DFT (PBE) results for a geometry-optimized Cs2RbNaSn structure.

Lattice parameters (Å, degrees): 7.6117 7.6117 6.2505 90.00 90.00 90.00
Fractional positions:
Cs 0.0000 0.5000 0.0000
Cs 0.5000 0.0000 0.0000
Rb 0.0000 0.0000 0.5000
Na 0.5000 0.5000 0.5000
Sn 0.5000 0.5000 0.0000

Its formation energy is 57 meV/atom. The calculation puts the density at 2260 kg/m³.

***

# 6
DFT (PBE) results for a geometry-optimized CsRb2NaSr structure.

Lattice parameters (Å, degrees): 7.4665 7.4665 7.4059 90.00 90.00 90.00
Fractional positions:
Cs 0.0000 0.0000 0.0000
Rb 0.0000 0.5000 0.5000
Rb 0.5000 0.0000 0.5000
Na 0.5000 0.5000 0.5000
Sr 0.5000 0.5000 0.0000

Its formation energy is 166 meV/atom. The calculation puts the density at 1667 kg/m³.

***

# 7
DFT (PBE) results for a geometry-optimized Cs2RbNa2Te2 structure.

Lattice parameters (Å, degrees): 14.3390 14.3390 14.3390 22.02 22.02 22.02
Fractional positions:
Cs 0.1104 0.1104 0.1104
Cs 0.8896 0.8896 0.8896
Rb 0.0000 0.0000 0.0000
Na 0.3709 0.3709 0.3709
Na 0.6291 0.6291 0.6291
Te 0.2855 0.2855 0.2855
Te 0.7145 0.7145 0.7145

The calculation puts the density at 2983 kg/m³. Its formation energy (no corrections) is -0.817 eV/atom.

***

# 8
DFT (PBE) results for a geometry-optimized Cs2RbNaTe structure.

Lattice parameters (Å, degrees): 7.4567 7.4567 7.0627 90.00 90.00 90.00
Fractional positions:
Cs 0.0000 0.5000 0.0000
Cs 0.5000 0.0000 0.0000
Rb 0.0000 0.0000 0.5000
Na 0.5000 0.5000 0.5000
Te 0.0000 0.0000 0.0000

The calculation puts the density at 2122 kg/m³. Its formation energy (no corrections) is -0.515 eV/atom.

***

# 9
DFT (PBE) results for a geometry-optimized Cs2RbNaTe structure.

Lattice parameters (Å, degrees): 7.7024 7.7024 6.0485 90.00 90.00 90.00
Fractional positions:
Cs 0.0000 0.5000 0.0000
Cs 0.5000 0.0000 0.0000
Rb 0.0000 0.0000 0.5000
Na 0.5000 0.5000 0.5000
Te 0.5000 0.5000 0.0000

The calculation puts the density at 2322 kg/m³. Its formation energy (no corrections) is -0.482 eV/atom.

***

# 10
DFT (PBE) results for a geometry-optimized CsRb2NaTe structure.

Lattice parameters (Å, degrees): 7.0774 7.0774 7.4583 90.00 90.00 90.00
Fractional positions:
Cs 0.0000 0.0000 0.0000
Rb 0.0000 0.5000 0.5000
Rb 0.5000 0.0000 0.5000
Na 0.5000 0.5000 0.0000
Te 0.0000 0.0000 0.5000

The calculation puts the density at 2020 kg/m³. Its formation energy (no corrections) is -0.503 eV/atom.

***

# 11
DFT (PBE) results for a geometry-optimized CsRbNa2Te structure.

Lattice parameters (Å, degrees): 6.3273 6.3273 7.1834 90.00 90.00 90.00
Fractional positions:
Cs 0.0000 0.0000 0.0000
Rb 0.5000 0.5000 0.0000
Na 0.0000 0.5000 0.5000
Na 0.5000 0.0000 0.5000
Te 0.5000 0.5000 0.5000

The calculation puts the density at 2263 kg/m³. Its formation energy (no corrections) is -0.395 eV/atom.

***

# 12
DFT (PBE) results for a geometry-optimized CsRb2NaTe structure.

Lattice parameters (Å, degrees): 7.3390 7.3390 6.1835 90.00 90.00 90.00
Fractional positions:
Cs 0.0000 0.0000 0.0000
Rb 0.0000 0.5000 0.5000
Rb 0.5000 0.0000 0.5000
Na 0.5000 0.5000 0.0000
Te 0.5000 0.5000 0.5000

The calculation puts the density at 2266 kg/m³. Its formation energy (no corrections) is -0.450 eV/atom.

***

# 13
DFT (PBE) results for a geometry-optimized CsRbNa2Te structure.

Lattice parameters (Å, degrees): 6.2785 6.2785 7.4713 90.00 90.00 90.00
Fractional positions:
Cs 0.0000 0.0000 0.0000
Rb 0.5000 0.5000 0.0000
Na 0.0000 0.5000 0.5000
Na 0.5000 0.0000 0.5000
Te 0.0000 0.0000 0.5000

The calculation puts the density at 2210 kg/m³. Its formation energy (no corrections) is -0.403 eV/atom.

***

# 14
DFT (PBE) results for a geometry-optimized CsRb2Na2Te2 structure.

Lattice parameters (Å, degrees): 14.9390 14.9390 14.9390 20.41 20.41 20.41
Fractional positions:
Cs 0.0000 0.0000 0.0000
Rb 0.1179 0.1179 0.1179
Rb 0.8821 0.8821 0.8821
Na 0.3942 0.3942 0.3942
Na 0.6058 0.6058 0.6058
Te 0.2723 0.2723 0.2723
Te 0.7277 0.7277 0.7277

The calculation puts the density at 2832 kg/m³. Its formation energy (no corrections) is -0.801 eV/atom.

***

# 15
DFT (PBE) results for a geometry-optimized CsRbNaTl structure.

Lattice parameters (Å, degrees): 6.5572 6.5572 6.5572 60.00 60.00 60.00
Fractional positions:
Cs 0.0000 0.0000 0.0000
Rb 0.2500 0.2500 0.2500
Na 0.7500 0.7500 0.7500
Tl 0.5000 0.5000 0.5000

Its formation energy is 58 meV/atom. The calculation puts the density at 3713 kg/m³.

***

# 16
DFT (PBE) results for a geometry-optimized CsRbNa2Tl structure.

Lattice parameters (Å, degrees): 6.3778 6.3778 7.0512 90.00 90.00 90.00
Fractional positions:
Cs 0.0000 0.0000 0.0000
Rb 0.5000 0.5000 0.0000
Na 0.0000 0.5000 0.5000
Na 0.5000 0.0000 0.5000
Tl 0.5000 0.5000 0.5000

Its formation energy is 19 meV/atom. The calculation puts the density at 2714 kg/m³.

***

# 17
DFT (PBE) results for a geometry-optimized CsRbNa2Tl structure.

Lattice parameters (Å, degrees): 6.3983 6.3983 7.1624 90.00 90.00 90.00
Fractional positions:
Cs 0.0000 0.0000 0.0000
Rb 0.5000 0.5000 0.0000
Na 0.0000 0.5000 0.5000
Na 0.5000 0.0000 0.5000
Tl 0.0000 0.0000 0.5000

Its formation energy is 50 meV/atom. The calculation puts the density at 2655 kg/m³.

***

# 18
DFT (PBE) results for a geometry-optimized CsRb2NaV structure.

Lattice parameters (Å, degrees): 7.0136 7.0136 6.1777 90.00 90.00 90.00
Fractional positions:
Cs 0.0000 0.0000 0.0000
Rb 0.0000 0.5000 0.0000
Rb 0.5000 0.0000 0.0000
Na 0.0000 0.0000 0.5000
V 0.5000 0.5000 0.5000

Its formation energy is 1287 meV/atom. The calculation puts the density at 2064 kg/m³.

***

# 19
DFT (PBE) results for a geometry-optimized CsRbNa2Zn structure.

Lattice parameters (Å, degrees): 6.3155 6.3155 6.7917 90.00 90.00 90.00
Fractional positions:
Cs 0.0000 0.0000 0.0000
Rb 0.5000 0.5000 0.0000
Na 0.0000 0.5000 0.5000
Na 0.5000 0.0000 0.5000
Zn 0.5000 0.5000 0.5000

Its formation energy is 124 meV/atom. The calculation puts the density at 2021 kg/m³.

***

# 20
DFT (PBE) results for a geometry-optimized CsRbNaZn structure.

Lattice parameters (Å, degrees): 6.8004 6.8004 6.8004 60.00 60.00 60.00
Fractional positions:
Cs 0.0000 0.0000 0.0000
Rb 0.5000 0.5000 0.5000
Na 0.2500 0.2500 0.2500
Zn 0.7500 0.7500 0.7500

Its formation energy is 145 meV/atom. The calculation puts the density at 2291 kg/m³.